(1)
A plane-wave DFT calculation with GGA-PBE was carried out for a relaxed Li2CuRe crystal.

The value obtained for the total magnetization is 3.0 μB/cell. The crystal system is tetragonal. As for the distance to the lowest polymorph of the same formula: 0.4567 eV per atom.

The space group is I4/mmm (No. 139) and the conventional cell measures 3.5531, 3.5531 and 8.7493 Å, with angles of 90.00, 90.00 and 90.00 degrees. Symmetry generates all atoms from Li at (0.0000, 0.5000, 0.2500), Cu at (0.0000, 0.0000, 0.0000) and Re at (0.0000, 0.0000, 0.5000).

(2)
A plane-wave DFT calculation with GGA-PBE was carried out for a relaxed Li2CuRe2 crystal.

The value obtained for the total magnetization is 0.0 μB/cell. The crystal system is tetragonal. For the energy, the calculation gives -5.676 eV/atom.

The space group is I4/mmm (No. 139) and the conventional cell measures 3.1970, 3.1970 and 14.1339 Å, with angles of 90.00, 90.00 and 90.00 degrees. Symmetry generates all atoms from Li at (0.0000, 0.5000, 0.2500), Cu at (0.0000, 0.0000, 0.0000) and Re at (0.0000, 0.0000, 0.4150).

(3)
A plane-wave DFT calculation with GGA-PBE was carried out for a relaxed LiCu2Re crystal.

The value obtained for the total magnetization is 0.0 μB/cell. The crystal system is orthorhombic. As for the distance to the lowest polymorph of the same formula: 0.0380 eV per atom.

The space group is Cmm2 (No. 35) and the conventional cell measures 3.0965, 4.0686 and 8.5084 Å, with angles of 90.00, 90.00 and 90.00 degrees. Symmetry generates all atoms from Li at (0.0000, 0.0000, 0.0000), Cu at (0.0000, 0.0000, 0.5173), Cu at (0.0000, 0.5000, 0.7488) and Re at (0.0000, 0.5000, 0.2650).

(4)
A plane-wave DFT calculation with GGA-PBE was carried out for a relaxed LiCu2Re crystal.

The value obtained for the total magnetization is 0.0 μB/cell. The crystal system is trigonal. As for the distance to the lowest polymorph of the same formula: 0.0674 eV per atom.

The space group is R3m (No. 160, hexagonal axes) and the conventional cell measures 2.6687, 2.6687 and 26.4410 Å, with angles of 90.00, 90.00 and 120.00 degrees. Symmetry generates all atoms from Li at (0.0000, 0.0000, 0.0000), Cu at (0.0000, 0.0000, 0.4953), Cu at (0.0000, 0.0000, 0.7507) and Re at (0.0000, 0.0000, 0.2445).

(5)
A plane-wave DFT calculation with GGA-PBE was carried out for a relaxed Li2CuRe crystal.

The value obtained for the total magnetization is 0.0 μB/cell. The crystal system is monoclinic. As for the distance to the lowest polymorph of the same formula: 0.1435 eV per atom.

The space group is Cm (No. 8) and the conventional cell measures 9.8495, 2.4872 and 4.9545 Å, with angles of 90.00, 114.76 and 90.00 degrees. Symmetry generates all atoms from Li at (0.0000, 0.0000, 0.0000), Li at (0.2373, 0.0000, 0.9274), Cu at (0.2339, 0.5000, 0.4413) and Re at (0.4767, 0.0000, 0.4806).

(6)
A plane-wave DFT calculation with GGA-PBE was carried out for a relaxed Li2CuRe crystal.

The value obtained for the total magnetization is 0.0 μB/cell. The crystal system is orthorhombic. As for the distance to the lowest polymorph of the same formula: 0.1854 eV per atom.

The space group is Cmmm (No. 65) and the conventional cell measures 5.1902, 8.7576 and 2.4414 Å, with angles of 90.00, 90.00 and 90.00 degrees. Symmetry generates all atoms from Li at (0.2500, 0.2500, 0.0000), Cu at (0.0000, 0.0000, 0.5000) and Re at (0.0000, 0.5000, 0.5000).

(7)
A plane-wave DFT calculation with GGA-PBE was carried out for a relaxed Li2CuRe crystal.

The value obtained for the total magnetization is 0.0 μB/cell. The crystal system is tetragonal. As for the distance to the lowest polymorph of the same formula: 0.0524 eV per atom.

The space group is P4mm (No. 99) and the conventional cell measures 2.5648, 2.5648 and 8.8880 Å, with angles of 90.00, 90.00 and 90.00 degrees. Symmetry generates all atoms from Li at (0.0000, 0.0000, 0.0000), Li at (0.5000, 0.5000, 0.2986), Cu at (0.5000, 0.5000, 0.7732) and Re at (0.0000, 0.0000, 0.5422).

(8)
A plane-wave DFT calculation with GGA-PBE was carried out for a relaxed Li2CuRe crystal.

The value obtained for the total magnetization is 8.4 μB/cell. The crystal system is cubic. As for the distance to the lowest polymorph of the same formula: 0.4675 eV per atom.

The space group is F-43m (No. 216) and the conventional cell measures 5.9699, 5.9699 and 5.9699 Å, with angles of 90.00, 90.00 and 90.00 degrees. Symmetry generates all atoms from Li at (0.0000, 0.0000, 0.0000), Li at (0.2500, 0.2500, 0.2500), Cu at (0.0000, 0.0000, 0.5000) and Re at (0.2500, 0.2500, 0.7500).

(9)
A plane-wave DFT calculation with GGA-PBE was carried out for a relaxed LiCuRe2Se crystal.

The value obtained for the total magnetization is 0.0 μB/cell. The crystal system is tetragonal. For the energy, the calculation gives -5.345 eV/atom.

The space group is P4/mmm (No. 123) and the conventional cell measures 4.4245, 4.4245 and 3.6215 Å, with angles of 90.00, 90.00 and 90.00 degrees. Symmetry generates all atoms from Li at (0.0000, 0.0000, 0.0000), Cu at (0.0000, 0.0000, 0.5000), Re at (0.0000, 0.5000, 0.0000) and Se at (0.5000, 0.5000, 0.5000).

(10)
A plane-wave DFT calculation with GGA-PBE was carried out for a relaxed LiCu2ReSn crystal.

The value obtained for the total magnetization is 4.0 μB/cell. The crystal system is tetragonal. For the energy, the calculation gives -3.788 eV/atom.

The space group is P4/mmm (No. 123) and the conventional cell measures 4.7321, 4.7321 and 4.7068 Å, with angles of 90.00, 90.00 and 90.00 degrees. Symmetry generates all atoms from Li at (0.0000, 0.0000, 0.0000), Cu at (0.0000, 0.5000, 0.5000), Re at (0.5000, 0.5000, 0.0000) and Sn at (0.0000, 0.0000, 0.5000).

(11)
A plane-wave DFT calculation with GGA-PBE was carried out for a relaxed LiCuRe2Tc crystal.

The value obtained for the total magnetization is 0.0 μB/cell. The crystal system is tetragonal. For the energy, the calculation gives -6.794 eV/atom.

The space group is P4/mmm (No. 123) and the conventional cell measures 4.1227, 4.1227 and 4.0674 Å, with angles of 90.00, 90.00 and 90.00 degrees. Symmetry generates all atoms from Li at (0.0000, 0.0000, 0.0000), Cu at (0.5000, 0.5000, 0.5000), Re at (0.0000, 0.5000, 0.0000) and Tc at (0.0000, 0.0000, 0.5000).

(12)
A plane-wave DFT calculation with GGA-PBE was carried out for a relaxed LiTl2CuRe crystal.

The value obtained for the total magnetization is 0.0 μB/cell. The crystal system is tetragonal. For the energy, the calculation gives -3.864 eV/atom.

The space group is P4/mmm (No. 123) and the conventional cell measures 5.3183, 5.3183 and 4.7875 Å, with angles of 90.00, 90.00 and 90.00 degrees. Symmetry generates all atoms from Li at (0.0000, 0.0000, 0.0000), Tl at (0.0000, 0.5000, 0.5000), Cu at (0.5000, 0.5000, 0.0000) and Re at (0.5000, 0.5000, 0.5000).